1.
{
  "formula": "KLi2Br",
  "functional": "PBE-GGA",
  "state": "optimized geometry",
  "cell": [[1.9573, -3.5496, 0.0000], [1.9573, 3.5496, 0.0000], [0.0000, 0.0000, 10.3302]],
  "species": ["K", "Li", "Li", "Br"],
  "frac_coords": [[0.0000, 0.0000, 0.0000], [0.5000, 0.5000, 0.3351], [0.5000, 0.5000, 0.6649], [0.0000, 0.0000, 0.5000]]
}


2.
{
  "formula": "K2LiBr",
  "functional": "PBE-GGA",
  "state": "optimized geometry",
  "cell": [[-2.0557, 2.1978, 9.8782], [2.0557, -2.1978, 9.8782], [2.0557, 2.1978, -9.8782]],
  "species": ["K", "K", "Li", "Br"],
  "frac_coords": [[0.0000, 0.0000, 0.0000], [0.7055, 0.2055, 0.5000], [0.3723, 0.3723, 0.0000], [0.1336, 0.6336, 0.5000]]
}


3.
{
  "formula": "KLi2Br",
  "functional": "PBE-GGA",
  "state": "optimized geometry",
  "cell": [[-4.1293, 4.1293, 4.7247], [4.1293, -4.1293, 4.7247], [4.1293, 4.1293, -4.7247]],
  "species": ["K", "K", "Li", "Li", "Li", "Li", "Br", "Br"],
  "frac_coords": [[0.0000, 0.0000, 0.0000], [0.7500, 0.2500, 0.5000], [0.2631, 0.6250, 0.1381], [0.3750, 0.5131, 0.6381], [0.4869, 0.1250, 0.8619], [0.8750, 0.7369, 0.3619], [0.2500, 0.7500, 0.5000], [0.5000, 0.5000, 0.0000]]
}


4.
{
  "formula": "KLiBr",
  "functional": "PBE-GGA",
  "state": "optimized geometry",
  "cell": [[7.2381, -2.1937, 0.0000], [7.2381, 2.1937, 0.0000], [-3.0761, 0.0000, 6.7207]],
  "species": ["K", "K", "Li", "Li", "Br", "Br"],
  "frac_coords": [[0.0000, 0.0000, 0.0000], [0.6324, 0.6324, 0.5767], [0.3067, 0.3067, 0.1026], [0.8903, 0.8903, 0.4106], [0.3182, 0.3182, 0.7714], [0.7055, 0.7055, 0.1299]]
}


| no. | excess energy over the best structure of this formula in the dataset (eV/f.u.) | M_tot (μB per formula unit) |
| --- | --- | --- |
| 1 | 0.52 | 0.0 |
| 2 | 0.12 | 0.0 |
| 3 | 0.68 | 0.0 |
| 4 | 0.06 | 0.0 |